No. 1
First-principles (PBE-GGA) data for a relaxed structure of Tb2CeHoTh, as listed in Alexandria.

Output
- Formation energy: 325 meV/atom
- Crystal system: monoclinic
- E: -5.114 eV/atom
- Calculated volume: 33.01 A^3/atom
- N(E_F): 20.11 states/eV/cell

Cell: 8.6225 6.1752 6.2003 Å, 90.00 90.46 90.00°
Closest atoms and distances in Å follow each position.
Space group P2/c (No. 13)
Asymmetric unit:
1 Tb 0.1870 0.2094 0.2523  1 Th 3.14, 1 Tb 3.22, 1 Ho 3.40
2 Ce 0.5000 0.5000 0.0000  2 Ce 3.10, 2 Th 3.18
3 Ho 0.0000 0.3065 0.7500  8 Tb 3.40-3.57
4 Th 0.5000 0.0497 0.7500  2 Tb 3.14, 2 Th 3.16, 2 Ce 3.18



No. 2
First-principles (PBE-GGA) data for a relaxed structure of Tb5CeHo2Th, as listed in Alexandria.

Output
- Formation energy: 183 meV/atom
- Crystal system: orthorhombic
- E: -4.890 eV/atom
- Calculated volume: 32.83 A^3/atom
- N(E_F): 59.28 states/eV/cell

Cell: 5.7063 21.2836 9.7313 Å, 90.00 90.00 90.00°
Closest atoms and distances in Å follow each position.
Space group Cmc2_1 (No. 36)
Asymmetric unit:
1 Tb 0.0000 0.0143 0.0000  2 Ho 3.32-3.59, 2 Th 3.44, 2 Tb 3.60
2 Tb 0.0000 0.2711 0.6926  1 Th 3.04, 1 Ho 3.31, 1 Ce 3.41
3 Tb 0.0000 0.3024 0.3102  2 Ce 3.38, 4 Tb 3.45-3.78, 1 Th 3.55, 3 Ho 3.55-3.72
4 Tb 0.0000 0.3958 0.9773  2 Tb 3.30-3.47, 4 Ho 3.37-3.52
5 Tb 0.0000 0.4691 0.2767  2 Th 3.18-3.36, 2 Tb 3.30-3.47, 2 Ho 3.48
6 Ce 0.0000 0.1903 0.9950  2 Ho 3.26-3.38, 5 Tb 3.38-3.54
7 Ho 0.0000 0.1156 0.6881  8 Tb 3.31-3.55, 1 Ce 3.38
8 Ho 0.0000 0.1278 0.3006  1 Ce 3.26, 3 Tb 3.37-3.59, 2 Th 3.57
9 Th 0.0000 0.4069 0.5945  3 Tb 3.04-3.36



No. 3
First-principles (PBE-GGA) data for a relaxed structure of TbCe2HoTl4, as listed in Alexandria.

Output
- Formation energy: -278 meV/atom
- Crystal system: trigonal
- E: -4.096 eV/atom
- Calculated volume: 28.52 A^3/atom
- N(E_F): 54.89 states/eV/cell

Cell: 5.4406 5.4406 26.7015 Å, 90.00 90.00 120.00°
Closest atoms and distances in Å follow each position.
Space group R-3m (No. 166, hexagonal axes)
Asymmetric unit:
1 Tb 0.0000 0.0000 0.0000  8 Tl 3.33-3.34
2 Ce 0.0000 0.0000 0.2497  8 Tl 3.32-3.35
3 Ho 0.0000 0.0000 0.5000  8 Tl 3.33
4 Tl 0.0000 0.0000 0.1252  4 Ce 3.32-3.33, 3 Ho 3.33, 1 Tb 3.34
5 Tl 0.0000 0.0000 0.3752  1 Ho 3.33, 3 Tb 3.33, 4 Ce 3.33-3.35



No. 4
First-principles (PBE-GGA) data for a relaxed structure of TbCe2Ho6Tm3, as listed in Alexandria.

Output
- Formation energy: 49 meV/atom
- Crystal system: monoclinic
- E: -4.732 eV/atom
- Calculated volume: 30.67 A^3/atom
- N(E_F): 44.40 states/eV/cell

Cell: 6.0872 10.5407 11.6513 Å, 90.00 100.03 90.00°
Closest atoms and distances in Å follow each position.
Space group C2/m (No. 12)
Asymmetric unit:
1 Tb 0.0000 0.0000 0.0000  6 Ce 3.51, 6 Ho 3.53
2 Ce 0.0000 0.3334 0.0000  3 Ce 3.51, 3 Tb 3.51, 6 Ho 3.51-3.52
3 Ho 0.2480 0.3323 0.7492  3 Tm 3.50-3.51, 6 Ho 3.50-3.54, 2 Ce 3.51-3.52, 1 Tb 3.53
4 Ho 0.2489 0.5000 0.2508  3 Tm 3.50-3.51, 6 Ho 3.50-3.54, 2 Ce 3.52, 1 Tb 3.53
5 Tm 0.0000 0.1662 0.5000  6 Ho 3.50-3.51, 6 Tm 3.50-3.52
6 Tm 0.0000 0.5000 0.5000  6 Ho 3.50-3.51, 6 Tm 3.51-3.52



No. 5
First-principles (PBE-GGA) data for a relaxed structure of Tb6CeHoTm2, as listed in Alexandria.

Output
- Formation energy: 252 meV/atom
- Crystal system: monoclinic
- E: -4.472 eV/atom
- Calculated volume: 32.56 A^3/atom
- N(E_F): 44.28 states/eV/cell

Cell: 11.3556 6.7364 8.9100 Å, 90.00 107.17 90.00°
Closest atoms and distances in Å follow each position.
Space group C2/m (No. 12)
Asymmetric unit:
1 Tb 0.1319 0.0000 0.4193  1 Ce 3.59, 7 Tb 3.69-3.81, 2 Ho 3.84, 2 Tm 3.97
2 Tb 0.1672 0.2587 0.8032  2 Tm 3.21-3.40, 1 Ho 3.24, 3 Tb 3.25-3.49, 1 Ce 3.42
3 Ce 0.0000 0.0000 0.0000  6 Tb 3.42-3.59, 4 Tm 3.72
4 Ho 0.0000 0.5000 0.5000  4 Tb 3.24, 2 Tm 3.35
5 Tm 0.0903 0.5000 0.1739  1 Tm 3.17, 4 Tb 3.21-3.40, 1 Ho 3.35



No. 6
First-principles (PBE-GGA) data for a relaxed structure of TbCeHoTm, as listed in Alexandria.

Output
- Formation energy: 157 meV/atom
- Crystal system: cubic
- E: -4.746 eV/atom
- Calculated volume: 31.45 A^3/atom
- N(E_F): 37.93 states/eV/cell

Cell: 7.9540 7.9540 7.9540 Å, 90.00 90.00 90.00°
Closest atoms and distances in Å follow each position.
Space group F-43m (No. 216)
Asymmetric unit:
1 Tb 0.0000 0.0000 0.0000  4 Ho 3.44, 4 Tm 3.44
2 Ce 0.0000 0.0000 0.5000  4 Ho 3.44, 4 Tm 3.44
3 Ho 0.2500 0.2500 0.2500  4 Tb 3.44, 4 Ce 3.44
4 Tm 0.2500 0.2500 0.7500  4 Tb 3.44, 4 Ce 3.44



No. 7
First-principles (PBE-GGA) data for a relaxed structure of Tb2CeHo4Tm, as listed in Alexandria.

Output
- Formation energy: 41 meV/atom
- Crystal system: monoclinic
- E: -4.706 eV/atom
- Calculated volume: 30.97 A^3/atom
- N(E_F): 13.71 states/eV/cell

Cell: 6.1038 3.5264 11.6895 Å, 90.00 100.08 90.00°
Closest atoms and distances in Å follow each position.
Space group P2/m (No. 10)
Asymmetric unit:
1 Tb 0.0000 0.0000 0.0000  4 Tm 3.52, 2 Tb 3.53, 6 Ho 3.53-3.54
2 Tb 0.0000 0.5000 0.5000  4 Ce 3.52, 2 Tb 3.53, 6 Ho 3.53
3 Ce 0.5000 0.0000 0.5000  6 Ho 3.51-3.52, 4 Tb 3.52, 2 Ce 3.53
4 Ho 0.2526 0.0000 0.7505  6 Ho 3.49-3.56, 2 Tm 3.51, 1 Ce 3.52, 3 Tb 3.53
5 Ho 0.2539 0.5000 0.2508  6 Ho 3.49-3.56, 2 Ce 3.51, 1 Tm 3.52, 3 Tb 3.53-3.54
6 Tm 0.5000 0.5000 0.0000  6 Ho 3.51-3.52, 4 Tb 3.52, 2 Tm 3.53



No. 8
First-principles (PBE-GGA) data for a relaxed structure of Tb2CeHoTm4, as listed in Alexandria.

Output
- Formation energy: 45 meV/atom
- Crystal system: tetragonal
- E: -4.663 eV/atom
- Calculated volume: 30.64 A^3/atom
- N(E_F): 12.32 states/eV/cell

Cell: 4.9809 4.9809 9.8788 Å, 90.00 90.00 90.00°
Closest atoms and distances in Å follow each position.
Space group P4/mmm (No. 123)
Asymmetric unit:
1 Tb 0.0000 0.0000 0.0000  8 Tm 3.52, 4 Ho 3.52
2 Tb 0.5000 0.5000 0.5000  8 Tm 3.50, 4 Ce 3.52
3 Ce 0.0000 0.0000 0.5000  8 Tm 3.50, 4 Tb 3.52
4 Ho 0.5000 0.5000 0.0000  8 Tm 3.52, 4 Tb 3.52
5 Tm 0.0000 0.5000 0.2512  4 Tb 3.50-3.52, 2 Ce 3.50, 2 Ho 3.52, 4 Tm 3.52



No. 9
First-principles (PBE-GGA) data for a relaxed structure of TbCe2Ho3Tm6, as listed in Alexandria.

Output
- Formation energy: 48 meV/atom
- Crystal system: monoclinic
- E: -4.707 eV/atom
- Calculated volume: 30.38 A^3/atom
- N(E_F): 42.42 states/eV/cell

Cell: 6.0740 10.5164 11.5925 Å, 90.00 100.05 90.00°
Closest atoms and distances in Å follow each position.
Space group C2/m (No. 12)
Asymmetric unit:
1 Tb 0.0000 0.0000 0.0000  6 Tm 3.50, 6 Ce 3.51
2 Ce 0.0000 0.3334 0.0000  6 Tm 3.49, 3 Ce 3.51, 3 Tb 3.51
3 Ho 0.0000 0.1661 0.5000  6 Ho 3.49-3.51, 6 Tm 3.50-3.51
4 Ho 0.0000 0.5000 0.5000  6 Tm 3.49-3.51, 6 Ho 3.50-3.51
5 Tm 0.2479 0.5000 0.2497  2 Ce 3.49, 3 Ho 3.49-3.50, 6 Tm 3.49-3.53, 1 Tb 3.50
6 Tm 0.2489 0.3323 0.7503  2 Ce 3.49, 6 Tm 3.49-3.53, 3 Ho 3.50-3.51, 1 Tb 3.50



No. 10
First-principles (PBE-GGA) data for a relaxed structure of Tb5CeHoTm2, as listed in Alexandria.

Output
- Formation energy: 172 meV/atom
- Crystal system: orthorhombic
- E: -4.562 eV/atom
- Calculated volume: 32.21 A^3/atom
- N(E_F): 60.49 states/eV/cell

Cell: 5.6730 21.4269 9.5388 Å, 90.00 90.00 90.00°
Closest atoms and distances in Å follow each position.
Space group Cmc2_1 (No. 36)
Asymmetric unit:
1 Tb 0.0000 0.0138 0.0000  3 Tm 3.27-3.66, 2 Ho 3.45, 2 Tb 3.64
2 Tb 0.0000 0.2677 0.3179  1 Ho 3.04, 1 Tm 3.30, 1 Ce 3.37
3 Tb 0.0000 0.3047 0.7001  2 Ce 3.37, 5 Tb 3.42-3.73, 1 Ho 3.43, 3 Tm 3.50-3.71
4 Tb 0.0000 0.3939 0.0327  2 Tb 3.27-3.49, 4 Tm 3.29-3.54, 1 Ho 3.66
5 Tb 0.0000 0.4706 0.7362  2 Ho 3.21-3.38, 3 Tb 3.27-3.57, 2 Tm 3.44
6 Ce 0.0000 0.1905 0.0099  2 Tm 3.23-3.31, 5 Tb 3.37-3.49, 2 Ho 3.58
7 Ho 0.0000 0.4028 0.4157  3 Tb 3.04-3.38
8 Tm 0.0000 0.1138 0.3116  9 Tb 3.27-3.66, 1 Ce 3.31
9 Tm 0.0000 0.1317 0.6976  1 Ce 3.23, 2 Tb 3.29, 2 Ho 3.59